# K2MnF PBE with a Hubbard U optimized geometry
data_K2MnF
_space_group_name_H-M_alt 'P 1'
_space_group_IT_number 1
_cell_length_a 5.848
_cell_length_b 5.848
_cell_length_c 5.848
_cell_angle_alpha 60.00
_cell_angle_beta 60.00
_cell_angle_gamma 60.00
loop_
_space_group_symop_operation_xyz
'x,y,z'
loop_
_atom_site_label
_atom_site_type_symbol
_atom_site_fract_x
_atom_site_fract_y
_atom_site_fract_z
_atom_site_occupancy
K1 K 0.250 0.250 0.250 1
K2 K 0.750 0.750 0.750 1
Mn1 Mn 0.000 0.000 0.000 1
F1 F 0.500 0.500 0.500 1
# energy relative to the lowest polymorph listed for this composition = 0.432 eV per atom
# density = 1.8 Mg/m³
# D(E_F) = 0.4466 states/eV per atom